Computed, not measured: a geometry-optimized CsCaVF6 structure at the PBE with a Hubbard U level of DFT.

## Properties
E (hartree per atom): -0.2078

Lattice parameters (Å, degrees): 7.7847 7.7847 7.7847 119.28 118.66 91.79
Sites, in units of the cell vectors:
Cs1 0.3666 0.1166 0.2500
Cs2 0.6334 0.8834 0.7500
Ca1 0.0000 0.5000 0.5000
Ca2 0.5000 0.5000 0.0000
V1 0.0000 0.0000 0.5000
V2 0.0000 0.5000 0.0000
F1 0.0388 0.7888 0.2500
F2 0.0489 0.4027 0.2026
F3 0.0489 0.8463 0.6462
F4 0.2999 0.1537 0.7026
F5 0.2999 0.5973 0.1462
F6 0.3456 0.5956 0.7500
F7 0.6544 0.4044 0.2500
F8 0.7001 0.4027 0.8538
F9 0.7001 0.8463 0.2974
F10 0.9511 0.1537 0.3538
F11 0.9511 0.5973 0.7974
F12 0.9612 0.2112 0.7500